(1)
A relaxed structure of AcLaInN3. Source: the Alexandria database, functional GGA-PBE.

Cell and atoms, written as POSCAR:
```
AcLaInN3
1.0
6.2927 0.0000 0.0000
0.0000 3.6299 0.0000
-1.0483 0.0000 9.1529
Ac La In N
2 2 2 6
Direct
0.1802 0.2500 0.1831
0.8198 0.7500 0.8169
0.2571 0.7500 0.5464
0.7429 0.2500 0.4536
0.3206 0.2500 0.8452
0.6794 0.7500 0.1548
0.0332 0.2500 0.6598
0.2398 0.7500 0.9700
0.4642 0.7500 0.3291
0.5358 0.2500 0.6709
0.7602 0.2500 0.0300
0.9668 0.7500 0.3402
```

Results
As for the space group: P2_1/m.

---

(2)
A relaxed structure of AcLaNd2In4. Source: the Alexandria database, functional GGA-PBE.

Cell and atoms, written as POSCAR:
```
AcLaNd2In4
1.0
2.7956 1.6140 9.1519
-2.7956 1.6140 9.1519
0.0000 -3.2281 9.1519
Ac La Nd In
1 1 2 4
Direct
0.0000 0.0000 0.0000
0.5000 0.5000 0.5000
0.2500 0.2500 0.2500
0.7500 0.7500 0.7500
0.1265 0.1265 0.1265
0.3767 0.3767 0.3767
0.6233 0.6233 0.6233
0.8735 0.8735 0.8735
```

Results
As for the space group: R-3m.

---

(3)
A relaxed structure of AcLaNdIn. Source: the Alexandria database, functional GGA-PBE.

Cell and atoms, written as POSCAR:
```
AcLaNdIn
1.0
0.0000 4.0763 4.0763
4.0763 0.0000 4.0763
4.0763 4.0763 0.0000
Ac La Nd In
1 1 1 1
Direct
0.0000 0.0000 0.0000
0.7500 0.7500 0.7500
0.2500 0.2500 0.2500
0.5000 0.5000 0.5000
```

Results
As for the space group: F-43m.

---

The calculation returns the following calculated total energy values, one per record and in order: -6.914 -4.157 -4.244 eV per atom.